# 1
PmTmCl: relaxed, PBE-GGA.

The volume is 27.702 A^3/atom. The distance to the lowest polymorph of the same formula comes out at 0.0 meV/atom. The calculation puts the total magnetic moment at 0.37 μB per formula unit.

Cell lengths 3.675, 3.675, 7.106 Å; angles 90.00, 90.00, 120.00 degrees
Sites, in units of the cell vectors:
Pm1 0.000 0.000 0.000
Tm1 0.333 0.667 0.621
Cl1 0.667 0.333 0.327

=====

# 2
Pm2TmCl8: relaxed, PBE-GGA.

The volume is 25.787 A^3/atom. The value obtained for the energy is -4.607 eV per atom. The calculation puts the total magnetic moment at 1.03 μB per formula unit.

Cell lengths 7.442, 7.442, 5.860 Å; angles 100.15, 100.15, 112.77 degrees
Sites, in units of the cell vectors:
Pm1 0.192 0.808 0.000
Pm2 0.808 0.192 0.000
Tm1 0.500 0.500 0.500
Cl1 0.150 0.150 0.311
Cl2 0.159 0.421 0.893
Cl3 0.288 0.712 0.500
Cl4 0.421 0.159 0.893
Cl5 0.579 0.841 0.107
Cl6 0.712 0.288 0.500
Cl7 0.841 0.579 0.107
Cl8 0.850 0.850 0.689

=====

# 3
PmTmCl: relaxed, PBE-GGA.

The volume is 27.638 A^3/atom. The distance to the lowest polymorph of the same formula comes out at 160.5 meV/atom. The calculation puts the total magnetic moment at 0.00 μB per formula unit.

Cell lengths 5.816, 5.816, 9.838 Å; angles 118.37, 118.37, 35.08 degrees
Sites, in units of the cell vectors:
Pm1 0.005 0.005 0.323
Pm2 0.995 0.995 0.677
Tm1 0.174 0.174 0.084
Tm2 0.826 0.826 0.916
Cl1 0.267 0.267 0.657
Cl2 0.733 0.733 0.343

=====

Repeat the first record exactly.
PmTmCl: relaxed, PBE-GGA.

The volume is 27.702 A^3/atom. The distance to the lowest polymorph of the same formula comes out at 0.0 meV/atom. The calculation puts the total magnetic moment at 0.37 μB per formula unit.

Cell lengths 3.675, 3.675, 7.106 Å; angles 90.00, 90.00, 120.00 degrees
Sites, in units of the cell vectors:
Pm1 0.000 0.000 0.000
Tm1 0.333 0.667 0.621
Cl1 0.667 0.333 0.327

=====

> Which formula does entry 1 have?

PmTmCl

=====

> The lowest volume belongs to which entry?

Pm2TmCl8